[1]
{
  "formula": "Ce4HgPb2",
  "functional": "GGA-PBE",
  "state": "relaxed",
  "lattice": [[-3.0086, 3.0086, 6.2674], [3.0086, -3.0086, 6.2674], [3.0086, 3.0086, -6.2674]],
  "species": ["Ce", "Ce", "Ce", "Ce", "Hg", "Pb", "Pb"],
  "fractional_positions": [[0.0000, 0.5000, 0.5000], [0.2500, 0.7500, 0.5000], [0.5000, 0.0000, 0.5000], [0.7500, 0.2500, 0.5000], [0.0000, 0.0000, 0.0000], [0.3678, 0.3678, 0.0000], [0.6322, 0.6322, 0.0000]],
  "formation_enthalpy_0k_ev_per_atom": -0.02,
  "vol_a3_per_cell": 227,
  "dos_ef_per_ev_atom": 4.26,
  "total_energy_ev_per_atom": -4.5089
}

***

[2]
{
  "formula": "Ba2TlO3F",
  "functional": "GGA-PBE",
  "state": "relaxed",
  "lattice": [[-2.2223, 2.2844, 6.6711], [2.2223, -2.2844, 6.6711], [2.2223, 2.2844, -6.6711]],
  "species": ["Ba", "Ba", "Tl", "O", "O", "O", "F"],
  "fractional_positions": [[0.1461, 0.1461, 0.0000], [0.8539, 0.8539, 0.0000], [0.5000, 0.5000, 0.0000], [0.3334, 0.3334, 0.0000], [0.5000, 0.0000, 0.5000], [0.6666, 0.6666, 0.0000], [0.0000, 0.5000, 0.5000]],
  "formation_energy_uncorrected_ev_per_atom": -2.061,
  "vol_a3_per_cell": 135,
  "total_energy_ev_per_atom": -5.3403
}

***

[3]
{
  "formula": "PaZnB",
  "functional": "GGA-PBE",
  "state": "relaxed",
  "lattice": [[1.7789, -9.3750, 0.0000], [1.7789, 9.3750, 0.0000], [0.0000, 0.0000, 3.1003]],
  "species": ["Pa", "Pa", "Zn", "Zn", "B", "B"],
  "fractional_positions": [[0.0849, 0.9151, 0.7500], [0.9151, 0.0849, 0.2500], [0.2757, 0.7243, 0.2500], [0.7243, 0.2757, 0.7500], [0.4793, 0.5207, 0.7500], [0.5207, 0.4793, 0.2500]],
  "formation_enthalpy_0k_ev_per_atom": -0.16,
  "vol_a3_per_cell": 103,
  "dos_ef_per_ev_atom": 1.09,
  "total_energy_ev_per_atom": -5.9721
}

***

[4]
{
  "formula": "Tb3SeS3",
  "functional": "GGA-PBE",
  "state": "relaxed",
  "lattice": [[-5.6542, 5.6542, 5.6542], [5.6542, -5.6542, 5.6542], [5.6542, 5.6542, -5.6542]],
  "species": ["Tb", "Tb", "Tb", "Tb", "Tb", "Tb", "Tb", "Tb", "Tb", "Tb", "Tb", "Tb", "Se", "Se", "Se", "Se", "S", "S", "S", "S", "S", "S", "S", "S", "S", "S", "S", "S"],
  "fractional_positions": [[0.2400, 0.7500, 0.2600], [0.2400, 0.9900, 0.9800], [0.2600, 0.2400, 0.7500], [0.2600, 0.5200, 0.5100], [0.5100, 0.2600, 0.5200], [0.5100, 0.7500, 0.9900], [0.5200, 0.5100, 0.2600], [0.7500, 0.2600, 0.2400], [0.7500, 0.9900, 0.5100], [0.9800, 0.2400, 0.9900], [0.9900, 0.5100, 0.7500], [0.9900, 0.9800, 0.2400], [0.0000, 0.2500, 0.5000], [0.2500, 0.2500, 0.2500], [0.2500, 0.5000, 0.0000], [0.5000, 0.0000, 0.2500], [0.0064, 0.0128, 0.7564], [0.0064, 0.4936, 0.2500], [0.0128, 0.7564, 0.0064], [0.2500, 0.0064, 0.4936], [0.2500, 0.7436, 0.7564], [0.4872, 0.4936, 0.7436], [0.4936, 0.2500, 0.0064], [0.4936, 0.7436, 0.4872], [0.7436, 0.4872, 0.4936], [0.7436, 0.7564, 0.2500], [0.7564, 0.0064, 0.0128], [0.7564, 0.2500, 0.7436]],
  "formation_energy_uncorrected_ev_per_atom": -1.995,
  "vol_a3_per_cell": 723,
  "dos_ef_per_ev_atom": 0.32,
  "total_energy_ev_per_atom": -6.2464,
  "de_polymorph_ev_per_fu": 0.000
}